[1]
Below is an optimized crystal structure of Zn5Ag6Hg, with properties calculated at the PBE level.

calculated total energy: -1.98 eV/atom
energy relative to the elements: -0.0020 eV/atom
calculated volume: 405.6 Å³/cell
M_tot: 0.0 μB per cell

abc: 4.0822 7.9151 12.5533
angles: 90.00 90.00 90.00
Space group Immm (No. 71)
Inequivalent atoms, fractional coordinates:
Zn  0.0000  0.0000  0.0000 (multiplicity 2)
Zn  0.0000  0.0000  0.3318 (multiplicity 4)
Zn  0.0000  0.5000  0.3283 (multiplicity 4)
Ag  0.0000  0.2415  0.1692 (multiplicity 8)
Ag  0.0000  0.2706  0.5000 (multiplicity 4)
Hg  0.0000  0.5000  0.0000 (multiplicity 2)

[2]
Below is an optimized crystal structure of ZnAgHg, with properties calculated at the PBE level.

energy above the most stable polymorph in this dataset: 3.40 kJ/mol of atoms
calculated total energy: -1.40 eV/atom
energy relative to the elements: 0.0796 eV/atom
calculated volume: 116.3 Å³/cell
M_tot: 0.0 μB per cell

abc: 4.7006 5.1657 5.5421
angles: 114.11 94.27 104.76
Space group P1 (No. 1)
Inequivalent atoms, fractional coordinates:
Zn  0.0000  0.0000  0.0000 (multiplicity 1)
Zn  0.3569  0.5994  0.1955 (multiplicity 1)
Ag  0.7821  0.3990  0.9081 (multiplicity 1)
Ag  0.9928  0.9230  0.4731 (multiplicity 1)
Hg  0.3453  0.6612  0.7170 (multiplicity 1)
Hg  0.6130  0.2276  0.3383 (multiplicity 1)

[3]
Below is an optimized crystal structure of Zn6Ag12Hg, with properties calculated at the PBE level.

energy above the most stable polymorph in this dataset: 3.29 kJ/mol of atoms
calculated total energy: -2.11 eV/atom
energy relative to the elements: 0.1057 eV/atom
calculated volume: 680.5 Å³/cell
M_tot: 0.0 μB per cell

abc: 8.7956 8.7956 8.7956
angles: 90.00 90.00 90.00
Space group Im-3 (No. 204)
Inequivalent atoms, fractional coordinates:
Zn  0.0000  0.3608  0.5000 (multiplicity 12)
Ag  0.0000  0.1830  0.2724 (multiplicity 24)
Hg  0.0000  0.0000  0.0000 (multiplicity 2)

[4]
Below is an optimized crystal structure of ZnAg4Hg, with properties calculated at the PBE level.

energy above the most stable polymorph in this dataset: 6.94 kJ/mol of atoms
calculated total energy: -2.04 eV/atom
energy relative to the elements: 0.1211 eV/atom
calculated volume: 506.5 Å³/cell
M_tot: 0.0 μB per cell

abc: 9.9320 11.2304 4.9595
angles: 90.00 113.71 90.00
Space group C2/c (No. 15)
Inequivalent atoms, fractional coordinates:
Zn  0.0000  0.0379  0.2500 (multiplicity 4)
Ag  0.1975  0.1916  0.2034 (multiplicity 8)
Ag  0.2495  0.4377  0.2613 (multiplicity 8)
Hg  0.0000  0.3617  0.7500 (multiplicity 4)

[5]
Below is an optimized crystal structure of ZnAg2Hg, with properties calculated at the PBE level.

energy above the most stable polymorph in this dataset: 2.17 kJ/mol of atoms
calculated total energy: -1.77 eV/atom
energy relative to the elements: 0.0544 eV/atom
calculated volume: 73.8 Å³/cell
M_tot: 0.0 μB per cell

abc: 2.9976 2.9976 8.2104
angles: 90.00 90.00 90.00
Space group P4mm (No. 99)
Inequivalent atoms, fractional coordinates:
Zn  0.0000  0.0000  0.0000 (multiplicity 1)
Ag  0.0000  0.0000  0.4668 (multiplicity 1)
Ag  0.5000  0.5000  0.2181 (multiplicity 1)
Hg  0.5000  0.5000  0.7370 (multiplicity 1)

[6]
Below is an optimized crystal structure of ZnAg4Hg, with properties calculated at the PBE level.

energy above the most stable polymorph in this dataset: 0.00 kJ/mol of atoms
calculated total energy: -2.11 eV/atom
energy relative to the elements: 0.0492 eV/atom
calculated volume: 446.7 Å³/cell
M_tot: 0.0 μB per cell

abc: 7.4235 12.1170 5.2792
angles: 90.00 109.85 90.00
Space group C2/c (No. 15)
Inequivalent atoms, fractional coordinates:
Zn  0.0000  0.0007  0.2500 (multiplicity 4)
Ag  0.0989  0.1880  0.5473 (multiplicity 8)
Ag  0.2085  0.3815  0.8687 (multiplicity 8)
Hg  0.0000  0.4026  0.2500 (multiplicity 4)

[7]
Below is an optimized crystal structure of ZnAg5Hg, with properties calculated at the PBE level.

energy above the most stable polymorph in this dataset: 0.00 kJ/mol of atoms
calculated total energy: -2.18 eV/atom
energy relative to the elements: 0.0867 eV/atom
calculated volume: 133.2 Å³/cell
M_tot: 0.0 μB per cell

abc: 4.2445 4.2445 7.3908
angles: 90.00 90.00 90.00
Space group P4/mmm (No. 123)
Inequivalent atoms, fractional coordinates:
Zn  0.0000  0.0000  0.0000 (multiplicity 1)
Ag  0.0000  0.0000  0.5000 (multiplicity 1)
Ag  0.0000  0.5000  0.2131 (multiplicity 4)
Hg  0.5000  0.5000  0.5000 (multiplicity 1)

[8]
Below is an optimized crystal structure of ZnAg2Hg, with properties calculated at the PBE level.

energy above the most stable polymorph in this dataset: 4.23 kJ/mol of atoms
calculated total energy: -1.74 eV/atom
energy relative to the elements: 0.0757 eV/atom
calculated volume: 293.5 Å³/cell
M_tot: 0.0 μB per cell

abc: 6.6456 6.6456 6.6456
angles: 90.00 90.00 90.00
Space group Fm-3m (No. 225)
Inequivalent atoms, fractional coordinates:
Zn  0.0000  0.0000  0.0000 (multiplicity 4)
Ag  0.2500  0.2500  0.2500 (multiplicity 8)
Hg  0.0000  0.0000  0.5000 (multiplicity 4)